#i
Density functional theory data (PBE-GGA) for a relaxed structure of PmDyHg2.

```
data_PmDyHg2
_chemical_formula_sum 'Pm4 Dy4 Hg8'
_symmetry_space_group_name_H-M 'F m -3 m'
_symmetry_Int_Tables_number 225
_symmetry_space_group_name_Hall '-F 4 2 3'
_cell_length_a 7.5375
_cell_length_b 7.5375
_cell_length_c 7.5375
_cell_angle_alpha 90.00
_cell_angle_beta 90.00
_cell_angle_gamma 90.00
loop_
_atom_site_label
_atom_site_fract_x
_atom_site_fract_y
_atom_site_fract_z
Pm1 0.0000 0.0000 0.0000
Dy1 0.0000 0.0000 0.5000
Hg1 0.2500 0.2500 0.2500
```

Summary:
The calculation puts the density of states at the Fermi level at 17.41 states/eV/cell.

=====

#ii
Density functional theory data (PBE-GGA) for a relaxed structure of PmDyHg2.

```
data_PmDyHg2
_chemical_formula_sum 'Pm3 Dy3 Hg6'
_symmetry_space_group_name_H-M 'R 3 m'
_symmetry_Int_Tables_number 160
_symmetry_space_group_name_Hall 'R 3 -2"'
_cell_length_a 3.8310
_cell_length_b 3.8310
_cell_length_c 27.4427
_cell_angle_alpha 90.00
_cell_angle_beta 90.00
_cell_angle_gamma 120.00
loop_
_atom_site_label
_atom_site_fract_x
_atom_site_fract_y
_atom_site_fract_z
Pm1 0.0000 0.0000 0.0000
Dy1 0.0000 0.0000 0.1662
Hg1 0.0000 0.0000 0.4186
Hg2 0.0000 0.0000 0.5810
```

Summary:
The calculation puts the density of states at the Fermi level at 11.00 states/eV/cell.

=====

#iii
Density functional theory data (PBE-GGA) for a relaxed structure of PmDyHg2.

```
data_PmDyHg2
_chemical_formula_sum 'Pm1 Dy1 Hg2'
_symmetry_space_group_name_H-M 'P 4/m m m'
_symmetry_Int_Tables_number 123
_symmetry_space_group_name_Hall '-P 4 2'
_cell_length_a 3.7402
_cell_length_b 3.7402
_cell_length_c 7.6434
_cell_angle_alpha 90.00
_cell_angle_beta 90.00
_cell_angle_gamma 90.00
loop_
_atom_site_label
_atom_site_fract_x
_atom_site_fract_y
_atom_site_fract_z
Pm1 0.0000 0.0000 0.0000
Dy1 0.0000 0.0000 0.5000
Hg1 0.5000 0.5000 0.2648
```

Summary:
The calculation puts the density of states at the Fermi level at 4.19 states/eV/cell.

=====

Ranking the structures above by energy, #iii is first and the second is 6 meV per atom behind.